Entry 1:
This record from Alexandria describes a relaxed Ba3TlTe4 crystal. The functional is PBE.

Cell lengths 7.0061, 7.0061, 7.0061 Å; angles 90.00, 90.00, 90.00 degrees
Last column: nearest neighbours and their distance in Å.
Space group Pm-3m (No. 221)
Unique sites:
Ba1 0.0000 0.0000 0.5000  6 Te 3.50
Tl1 0.5000 0.5000 0.5000  6 Te 3.50
Te1 0.0000 0.0000 0.0000  6 Ba 3.50
Te2 0.0000 0.5000 0.5000  4 Ba 3.50, 2 Tl 3.50

Computed properties:
ΔE_f (raw) (eV/atom): -1.33
Crystal system: cubic
Calculated total energy (eV per atom): -3.914

***

Entry 2:
This record from Alexandria describes a relaxed TbDy2Ho5Mg crystal. The functional is PBE.

Cell lengths 5.3854, 19.9603, 10.4301 Å; angles 90.00, 90.00, 90.00 degrees
Last column: nearest neighbours and their distance in Å.
Space group Cmc2_1 (No. 36)
Unique sites:
Tb1 0.0000 0.2061 0.0000  7 Ho 3.41-3.55, 2 Mg 3.49, 2 Dy 3.51
Dy1 0.0000 0.1146 0.2877  9 Ho 3.39-3.61, 1 Tb 3.51
Dy2 0.0000 0.1148 0.7124  9 Ho 3.39-3.61, 1 Tb 3.51
Ho1 0.0000 0.0137 0.0000  2 Mg 3.14, 2 Dy 3.39
Ho2 0.0000 0.2893 0.2991  1 Mg 3.10, 2 Ho 3.29, 2 Tb 3.41, 2 Dy 3.43
Ho3 0.0000 0.2902 0.7006  1 Mg 3.12, 2 Ho 3.29, 2 Tb 3.41, 2 Dy 3.42
Ho4 0.0000 0.3833 0.0000  4 Dy 3.49, 6 Ho 3.50-3.74, 1 Tb 3.54
Ho5 0.0000 0.5004 0.2492  2 Mg 3.22-3.23, 2 Ho 3.50, 4 Dy 3.55-3.56
Mg1 0.0000 0.4050 0.4983  6 Ho 3.10-3.23

Computed properties:
Crystal system: orthorhombic
Energy of formation from the pure elements (eV per atom): 0.105
Calculated total energy (eV per atom): -4.152

***

Entry 3:
This record from Alexandria describes a relaxed TiTeOs crystal. The functional is PBE.

Cell lengths 12.5183, 3.0761, 5.7833 Å; angles 90.00, 90.00, 90.00 degrees
Last column: nearest neighbours and their distance in Å.
Space group Amm2 (No. 38)
Unique sites:
Ti1 0.0000 0.0000 0.0000  6 Te 2.71-2.85
Ti2 0.5000 0.0000 0.0824  6 Os 2.57-2.63
Te1 0.1668 0.0000 0.2974  3 Ti 2.71-2.85, 2 Os 2.81
Os1 0.3538 0.0000 0.7710  3 Ti 2.57-2.63, 2 Te 2.81

Computed properties:
ΔE_f (raw) (eV/atom): 0.27
Crystal system: orthorhombic
Calculated total energy (eV per atom): -7.150

***

> calculated total energy of number 3 (TiTeOs)?

-7.150 eV per atom